Entry 1:
UTl3Hg2Se6 | GGA-PBE | relaxed

Output
Density of states at the Fermi level in states/eV/cell: 1.17
Formation energy without anion corrections in meV/atom: -525
Calculated total energy in eV per cell: -46.2

Unit cell a=7.6060 b=7.6060 c=7.9076 alpha=95.74 beta=95.74 gamma=125.39
With the nearest neighbours (Å) after each atom.
Sites, in units of the cell vectors:
Hg1 0.3410 0.6590 0.0000  2 Se 2.56
Hg2 0.6590 0.3410 0.0000  2 Se 2.56
Se1 0.0990 0.3957 0.1908  1 Hg 2.56, 1 U 2.85
Se2 0.6043 0.9010 0.8092  1 Hg 2.56, 1 U 2.85
Se3 0.9010 0.6043 0.8092  1 Hg 2.56, 1 U 2.85
Se4 0.8137 0.8137 0.2621  1 U 2.68
Se5 0.1863 0.1863 0.7379  1 U 2.68
Se6 0.3957 0.0990 0.1908  1 Hg 2.56, 1 U 2.85
Tl1 0.5000 0.5000 0.5000  6 Se 3.18-3.35
Tl2 0.8245 0.1755 0.5000  4 Se 3.13-3.31
Tl3 0.1755 0.8245 0.5000  4 Se 3.13-3.31
U1 0.0000 0.0000 0.0000  6 Se 2.68-2.85

Entry 2:
UTlHg2Se6 | GGA-PBE | relaxed

Output
Density of states at the Fermi level in states/eV/cell: 6.04
Formation energy without anion corrections in meV/atom: -398
Calculated total energy in eV per cell: -39.1

Unit cell a=7.8738 b=7.3431 c=8.5767 alpha=57.92 beta=54.91 gamma=52.57
With the nearest neighbours (Å) after each atom.
Sites, in units of the cell vectors:
Se1 0.9469 0.4936 0.2939  1 Hg 2.70, 1 U 2.72
Se2 0.3896 0.7525 0.7975  2 Hg 2.55-2.77
Se3 0.7502 0.1285 0.7096  1 Hg 2.66, 1 U 2.71
Se4 0.5705 0.2138 0.2139  1 U 2.69, 1 Hg 2.73
Se5 0.1506 0.3989 0.8056  1 U 2.58
Se6 0.3131 0.8822 0.1959  1 Hg 2.52, 1 U 2.78
Tl1 0.8819 0.7751 0.5212  5 Se 3.11-3.24
U1 0.3559 0.3062 0.0068  6 Se 2.58-2.88
Hg1 0.9180 0.8993 0.9914  4 Se 2.66-2.77
Hg2 0.3849 0.8114 0.4792  2 Se 2.52-2.55